Here is PmSm5Er3 after structural relaxation from Alexandria. Energies are from GGA-PBE.

The structure in CIF format:
```
data_PmSm5Er3
_chemical_formula_sum 'Pm2 Sm10 Er6'
_space_group_name_H-M_alt 'P 1'
_space_group_IT_number 1
_space_group_name_Hall 'P 1'
_cell_length_a 9.3965
_cell_length_b 9.3965
_cell_length_c 12.7840
_cell_angle_alpha 51.68
_cell_angle_beta 51.68
_cell_angle_gamma 51.41
loop_
_atom_site_label
_atom_site_type_symbol
_atom_site_fract_x
_atom_site_fract_y
_atom_site_fract_z
Sm1 Sm 0.3191 0.6809 0.0000
Er1 Er 0.2970 0.2970 0.3164
Sm2 Sm 0.6809 0.3191 0.0000
Pm1 Pm 0.1039 0.1039 0.1327
Sm3 Sm 0.5097 0.9156 0.2240
Er2 Er 0.8338 0.8338 0.3401
Sm4 Sm 0.5591 0.5591 0.5734
Sm5 Sm 0.4409 0.4409 0.4266
Sm6 Sm 0.6335 0.6335 0.0625
Er3 Er 0.7030 0.7030 0.6836
Pm2 Pm 0.8961 0.8961 0.8673
Sm7 Sm 0.9156 0.5097 0.2240
Sm8 Sm 0.0844 0.4903 0.7760
Er4 Er 0.0000 0.0000 0.5000
Er5 Er 0.1662 0.1662 0.6599
Er6 Er 0.0000 0.0000 0.0000
Sm9 Sm 0.4903 0.0844 0.7760
Sm10 Sm 0.3665 0.3665 0.9375
```

Calculated values
Fermi-level density of states ... 1.445 states/eV/atom
ρ ... 7.26 g cm⁻³
Formation energy from the elements ... 0.417 eV/atom
Total moment ... 0.000 μB/atom